# 1
Here is a relaxed structure of ZnTe2Pb from Alexandria. Energies are from PBE. Values from VASP.

```
&SYSTEM
  ibrav = 0, nat = 4, ntyp = 3
/
ATOMIC_SPECIES
Zn 65.41 Zn.upf
Te 127.60 Te.upf
Pb 207.20 Pb.upf
ATOMIC_POSITIONS crystal
Zn 0.0000 0.0000 0.0000
Te 0.0000 0.0000 0.5256
Te 0.5000 0.5000 0.1755
Pb 0.5000 0.5000 0.7761
CELL_PARAMETERS angstrom
2.0563 -2.8357 0.0000
2.0563 2.8357 0.0000
0.0000 0.0000 9.9133
```

Values from the calculation:
- uncorrected formation energy (eV per atom) = 0.09
- density of states at the Fermi level (states/eV per atom) = 0.40
- M_tot (μB/f.u.) = 0.0
- ΔE to the lowest computed polymorph (meV/atom) = 396
- V (A^3/atom) = 28.90

# 2
Here is a relaxed structure of Zn2TePb from Alexandria. Energies are from PBE. Values from VASP.

```
&SYSTEM
  ibrav = 0, nat = 4, ntyp = 3
/
ATOMIC_SPECIES
Zn 65.41 Zn.upf
Te 127.60 Te.upf
Pb 207.20 Pb.upf
ATOMIC_POSITIONS crystal
Zn 0.0000 0.0000 0.0000
Zn 0.5000 0.5000 0.5000
Te 0.0000 0.0000 0.5000
Pb 0.5000 0.5000 0.0000
CELL_PARAMETERS angstrom
4.1116 0.0000 0.0000
0.0000 4.1220 0.0000
-0.6965 0.0000 5.8085
```

Values from the calculation:
- uncorrected formation energy (eV per atom) = 0.09
- density of states at the Fermi level (states/eV per atom) = 0.53
- M_tot (μB/f.u.) = 0.0
- ΔE to the lowest computed polymorph (meV/atom) = 128
- V (A^3/atom) = 24.61

# 3
Here is a relaxed structure of Zn2TePb from Alexandria. Energies are from PBE. Values from VASP.

```
&SYSTEM
  ibrav = 0, nat = 4, ntyp = 3
/
ATOMIC_SPECIES
Zn 65.41 Zn.upf
Te 127.60 Te.upf
Pb 207.20 Pb.upf
ATOMIC_POSITIONS crystal
Zn 0.0000 0.0000 0.0000
Zn 0.2763 0.2763 0.2763
Te 0.7424 0.7424 0.7424
Pb 0.5194 0.5194 0.5194
CELL_PARAMETERS angstrom
2.0850 1.2038 6.6891
-2.0850 1.2038 6.6891
0.0000 -2.4076 6.6891
```

Values from the calculation:
- uncorrected formation energy (eV per atom) = 0.02
- density of states at the Fermi level (states/eV per atom) = 0.30
- M_tot (μB/f.u.) = 0.0
- ΔE to the lowest computed polymorph (meV/atom) = 54
- V (A^3/atom) = 25.18

# 4
Here is a relaxed structure of ZnTe2Pb from Alexandria. Energies are from PBE. Values from VASP.

```
&SYSTEM
  ibrav = 0, nat = 4, ntyp = 3
/
ATOMIC_SPECIES
Zn 65.41 Zn.upf
Te 127.60 Te.upf
Pb 207.20 Pb.upf
ATOMIC_POSITIONS crystal
Zn 0.0000 0.0000 0.0000
Te 0.0000 0.0000 0.4756
Te 0.5000 0.5000 0.8287
Pb 0.5000 0.5000 0.2070
CELL_PARAMETERS angstrom
3.4152 0.0000 0.0000
0.0000 3.4152 0.0000
0.0000 0.0000 9.7225
```

Values from the calculation:
- uncorrected formation energy (eV per atom) = 0.11
- density of states at the Fermi level (states/eV per atom) = 0.57
- M_tot (μB/f.u.) = 0.0
- ΔE to the lowest computed polymorph (meV/atom) = 421
- V (A^3/atom) = 28.35

# 5
Here is a relaxed structure of Zn2TePb from Alexandria. Energies are from PBE. Values from VASP.

```
&SYSTEM
  ibrav = 0, nat = 4, ntyp = 3
/
ATOMIC_SPECIES
Zn 65.41 Zn.upf
Te 127.60 Te.upf
Pb 207.20 Pb.upf
ATOMIC_POSITIONS crystal
Zn 0.0000 0.5000 0.0000
Zn 0.5000 0.0000 0.0000
Te 0.0000 0.0000 0.7144
Pb 0.5000 0.5000 0.3369
CELL_PARAMETERS angstrom
3.9916 0.0000 0.0000
0.0000 3.9916 0.0000
0.0000 0.0000 6.6130
```

Values from the calculation:
- uncorrected formation energy (eV per atom) = -0.04
- density of states at the Fermi level (states/eV per atom) = 0.39
- M_tot (μB/f.u.) = 0.0
- ΔE to the lowest computed polymorph (meV/atom) = 0
- V (A^3/atom) = 26.34

# 6
Here is a relaxed structure of ZnTe2Pb from Alexandria. Energies are from PBE. Values from VASP.

```
&SYSTEM
  ibrav = 0, nat = 4, ntyp = 3
/
ATOMIC_SPECIES
Zn 65.41 Zn.upf
Te 127.60 Te.upf
Pb 207.20 Pb.upf
ATOMIC_POSITIONS crystal
Zn 0.0000 0.0000 0.0000
Te 0.5000 0.5000 0.0000
Te 0.7500 0.2500 0.5000
Pb 0.2500 0.7500 0.5000
CELL_PARAMETERS angstrom
-2.1964 2.1964 6.0596
2.1964 -2.1964 6.0596
2.1964 2.1964 -6.0596
```

Values from the calculation:
- uncorrected formation energy (eV per atom) = 0.06
- density of states at the Fermi level (states/eV per atom) = 0.39
- M_tot (μB/f.u.) = 0.0
- ΔE to the lowest computed polymorph (meV/atom) = 371
- V (A^3/atom) = 29.23